# 1
# Sr2LiSi GGA-PBE optimized geometry
data_Sr2LiSi
_chemical_formula_sum 'Sr6 Li3 Si3'
_cell_length_a 4.3746
_cell_length_b 4.3746
_cell_length_c 28.2954
_cell_angle_alpha 90.00
_cell_angle_beta 90.00
_cell_angle_gamma 120.00
_symmetry_space_group_name_H-M 'R -3 m'
_symmetry_Int_Tables_number 166
_symmetry_space_group_name_Hall '-R 3 2"'
loop_
_atom_site_label
_atom_site_fract_x
_atom_site_fract_y
_atom_site_fract_z
_atom_site_occupancy
Sr1 0.0000 0.0000 0.2315 1
Li1 0.0000 0.0000 0.0000 1
Si1 0.0000 0.0000 0.5000 1
# ΔE_f (raw) ... 0.19 eV per formula unit
# Total energy ... -31.52 eV/cell
# V ... 469 Å³/cell


# 2
# Pa6Te12As GGA-PBE optimized geometry
data_Pa6Te12As
_chemical_formula_sum 'Pa18 Te36 As3'
_cell_length_a 10.6179
_cell_length_b 10.6179
_cell_length_c 17.7938
_cell_angle_alpha 90.00
_cell_angle_beta 90.00
_cell_angle_gamma 120.00
_symmetry_space_group_name_H-M 'R -3 m'
_symmetry_Int_Tables_number 166
_symmetry_space_group_name_Hall '-R 3 2"'
loop_
_atom_site_label
_atom_site_fract_x
_atom_site_fract_y
_atom_site_fract_z
_atom_site_occupancy
Pa1 0.0461 0.5230 0.2625 1
Te1 0.0397 0.5198 0.9063 1
Te2 0.1053 0.5527 0.5817 1
As1 0.0000 0.0000 0.5000 1
# ΔE_f (raw) ... -12.12 eV per formula unit
# Total energy ... -334.33 eV/cell
# V ... 1737 Å³/cell


# 3
# Ag2HgBr2 GGA-PBE optimized geometry
data_Ag2HgBr2
_chemical_formula_sum 'Ag4 Hg2 Br4'
_cell_length_a 8.052
_cell_length_b 8.052
_cell_length_c 3.836
_cell_angle_alpha 90.00
_cell_angle_beta 90.00
_cell_angle_gamma 90.00
_symmetry_space_group_name_H-M 'P 4/m b m'
_symmetry_Int_Tables_number 127
_symmetry_space_group_name_Hall '-P 4 2ab'
loop_
_atom_site_label
_atom_site_fract_x
_atom_site_fract_y
_atom_site_fract_z
_atom_site_occupancy
Ag1 0.137 0.363 0.000 1
Hg1 0.000 0.000 0.000 1
Br1 0.159 0.659 0.500 1
# ΔE_f (raw) ... -0.71 eV per formula unit
# Total energy ... -20.12 eV/cell
# V ... 249 Å³/cell


# 4
# Sr2ErSb4Pd3 GGA-PBE optimized geometry
data_Sr2ErSb4Pd3
_chemical_formula_sum 'Sr2 Er1 Sb4 Pd3'
_cell_length_a 4.601
_cell_length_b 4.601
_cell_length_c 12.156
_cell_angle_alpha 90.00
_cell_angle_beta 90.00
_cell_angle_gamma 90.00
_symmetry_space_group_name_H-M 'P -4 m 2'
_symmetry_Int_Tables_number 115
_symmetry_space_group_name_Hall 'P -4 -2'
loop_
_atom_site_label
_atom_site_fract_x
_atom_site_fract_y
_atom_site_fract_z
_atom_site_occupancy
Sr1 0.000 0.500 0.236 1
Er1 0.000 0.000 0.500 1
Sb1 0.000 0.000 0.000 1
Sb2 0.000 0.500 0.652 1
Sb3 0.500 0.500 0.000 1
Pd1 0.000 0.500 0.875 1
Pd2 0.500 0.500 0.500 1
# ΔE_f (raw) ... -8.38 eV per formula unit
# Total energy ... -48.38 eV/cell
# V ... 257 Å³/cell


# 5
# Tl2HgP2 GGA-PBE optimized geometry
data_Tl2HgP2
_chemical_formula_sum 'Tl4 Hg2 P4'
_cell_length_a 9.138
_cell_length_b 9.138
_cell_length_c 3.612
_cell_angle_alpha 90.00
_cell_angle_beta 90.00
_cell_angle_gamma 90.00
_symmetry_space_group_name_H-M 'P 4/m b m'
_symmetry_Int_Tables_number 127
_symmetry_space_group_name_Hall '-P 4 2ab'
loop_
_atom_site_label
_atom_site_fract_x
_atom_site_fract_y
_atom_site_fract_z
_atom_site_occupancy
Tl1 0.183 0.317 0.000 1
Hg1 0.000 0.000 0.000 1
P1 0.079 0.579 0.500 1
# Total energy ... -29.50 eV/cell
# V ... 302 Å³/cell


# 6
# Ba3TlSn2 GGA-PBE optimized geometry
data_Ba3TlSn2
_chemical_formula_sum 'Ba12 Tl4 Sn8'
_cell_length_a 9.602
_cell_length_b 10.851
_cell_length_c 10.171
_cell_angle_alpha 90.00
_cell_angle_beta 109.85
_cell_angle_gamma 90.00
_symmetry_space_group_name_H-M 'P 1 21/c 1'
_symmetry_Int_Tables_number 14
_symmetry_space_group_name_Hall '-P 2ybc'
loop_
_atom_site_label
_atom_site_fract_x
_atom_site_fract_y
_atom_site_fract_z
_atom_site_occupancy
Ba1 0.140 0.173 0.377 1
Ba2 0.265 0.608 0.654 1
Ba3 0.274 0.510 0.255 1
Tl1 0.449 0.642 0.016 1
Sn1 0.102 0.664 0.909 1
Sn2 0.404 0.203 0.170 1
# Total energy ... -76.88 eV/cell
# V ... 997 Å³/cell


no.,calculated density (Mg/m³),total magnetization (Bohr magnetons per cell)
1,2.2,0.00
2,8.6,6.46
3,7.7,0.00
4,7.4,0.00
5,7.4,0.00
6,5.7,0.00